LaSc | PBE | optimized geometry

Cell lengths 10.726, 6.122, 6.652 Å; angles 90.00, 123.09, 90.00 degrees
Space group C2 (No. 5)
Inequivalent atoms, fractional coordinates:
La 0.000 0.000 0.000
La 0.153 0.651 0.488
Sc 0.000 0.169 0.500
Sc 0.178 0.485 0.010

Computed properties:
Energy relative to the lowest polymorph listed for this composition (eV per atom): 0.0263
Spin magnetization (Bohr magnetons per cell): 0.00
Uncorrected energy (eV per atom): -5.548
DFT formation energy (kJ/mol of atoms): 7.8